No. 1
The following is a PBEsol calculation of LiBiF6 after structural relaxation, from the Alexandria database.

- crystal system = trigonal
- E_form (uncorrected) (eV per atom) = -2.18
- total energy (eV/atom) = -4.41

abc: 5.1739 5.1739 14.0905
angles: 90.00 90.00 120.00
With the nearest neighbours (Å) after each atom.
Space group R-3 (No. 148, hexagonal axes)
One atom of each set of equivalent atoms:
Li (0.0000, 0.0000, 0.0000) x3  6 F 2.02
Bi (0.0000, 0.0000, 0.5000) x3  6 F 2.03
F (0.0017, 0.6364, 0.7499) x18  1 Li 2.02, 1 Bi 2.03

=====

No. 2
The following is a PBEsol calculation of Li3BiF after structural relaxation, from the Alexandria database.

- crystal system = cubic
- E_form (uncorrected) (eV per atom) = -1.37
- total energy (eV/atom) = -3.79

abc: 4.2290 4.2290 4.2290
angles: 90.00 90.00 90.00
With the nearest neighbours (Å) after each atom.
Space group Pm-3m (No. 221)
One atom of each set of equivalent atoms:
Li (0.0000, 0.0000, 0.5000) x3  2 F 2.11
Bi (0.5000, 0.5000, 0.5000) x1  12 Li 2.99
F (0.0000, 0.0000, 0.0000) x1  6 Li 2.11

=====

No. 3
The following is a PBEsol calculation of LiBiF5 after structural relaxation, from the Alexandria database.

- crystal system = tetragonal
- E_form (uncorrected) (eV per atom) = -2.30
- total energy (eV/atom) = -4.57

abc: 6.9367 6.9367 4.3751
angles: 90.00 90.00 90.00
With the nearest neighbours (Å) after each atom.
Space group I-4 (No. 82)
One atom of each set of equivalent atoms:
Li (0.0000, 0.0000, 0.0000) x2  4 F 1.87
Bi (0.0000, 0.5000, 0.2500) x2  6 F 2.12-2.19
F (0.0000, 0.5000, 0.7500) x2  2 Bi 2.19
F (0.0895, 0.7919, 0.2308) x8  1 Li 1.87

=====

No. 4
The following is a PBEsol calculation of LiBiF4 after structural relaxation, from the Alexandria database.

- crystal system = tetragonal
- E_form (uncorrected) (eV per atom) = -2.66
- total energy (eV/atom) = -4.99

abc: 5.2711 5.2711 11.1446
angles: 90.00 90.00 90.00
With the nearest neighbours (Å) after each atom.
Space group I4_1/a (No. 88, origin choice 2)
One atom of each set of equivalent atoms:
Li (0.0000, 0.2500, 0.1250) x4  4 F 1.90
Bi (0.0000, 0.2500, 0.6250) x4  8 F 2.33-2.38
F (0.1593, 0.4749, 0.7946) x16  1 Li 1.90

=====

No. 5
The following is a PBEsol calculation of LiMgBi2F after structural relaxation, from the Alexandria database.

- crystal system = tetragonal
- E_form (uncorrected) (eV per atom) = -0.84
- total energy (eV/atom) = -3.68

abc: 5.5427 5.5427 3.5163
angles: 90.00 90.00 90.00
With the nearest neighbours (Å) after each atom.
Space group P4/mmm (No. 123)
One atom of each set of equivalent atoms:
Li (0.0000, 0.0000, 0.0000) x1  2 F 1.76
Mg (0.5000, 0.5000, 0.0000) x1  8 Bi 3.28, 2 Mg 3.52
Bi (0.0000, 0.5000, 0.5000) x2  2 F 2.77
F (0.0000, 0.0000, 0.5000) x1  2 Li 1.76

=====

No. 6
The following is a PBEsol calculation of MgBiF5 after structural relaxation, from the Alexandria database.

- crystal system = monoclinic
- E_form (uncorrected) (eV per atom) = -2.87
- total energy (eV/atom) = -5.10

abc: 4.9200 9.9116 7.9661
angles: 90.00 94.88 90.00
With the nearest neighbours (Å) after each atom.
Space group P2_1/c (No. 14)
One atom of each set of equivalent atoms:
Mg (0.0495, 0.0079, 0.2001) x4  6 F 1.92-2.05
Bi (0.4526, 0.7439, 0.0917) x4  5 F 2.18-2.29
F (0.0599, 0.6285, 0.1250) x4  1 Mg 1.95
F (0.1553, 0.6004, 0.4965) x4  2 Mg 2.01-2.05, 1 Bi 2.21
F (0.2632, 0.1076, 0.7938) x4  1 Mg 1.92
F (0.2730, 0.6487, 0.8058) x4  1 Mg 2.04, 1 Bi 2.25
F (0.3720, 0.1296, 0.1737) x4  1 Mg 2.02

=====

No. 7
The following is a PBEsol calculation of MgBi2F after structural relaxation, from the Alexandria database.

- crystal system = tetragonal
- E_form (uncorrected) (eV per atom) = -0.56
- total energy (eV/atom) = -3.61
- excess energy over the best structure of this formula in the dataset (eV per atom) = 0.085

abc: 4.3809 4.3809 20.9827
angles: 90.00 90.00 90.00
With the nearest neighbours (Å) after each atom.
Space group I-42d (No. 122)
One atom of each set of equivalent atoms:
Mg (0.0000, 0.0000, 0.0000) x4  4 Bi 3.04, 4 F 3.10
Bi (0.2478, 0.2500, 0.1250) x8  2 Mg 3.04, 2 F 3.05, 4 Bi 3.08-3.11
F (0.0000, 0.0000, 0.5000) x4  4 Bi 3.05, 4 Mg 3.10

=====

No. 8
The following is a PBEsol calculation of MgBiF2 after structural relaxation, from the Alexandria database.

- crystal system = trigonal
- E_form (uncorrected) (eV per atom) = -1.61
- total energy (eV/atom) = -4.07

abc: 3.3003 3.3003 23.4966
angles: 90.00 90.00 120.00
With the nearest neighbours (Å) after each atom.
Space group R-3m (No. 166, hexagonal axes)
One atom of each set of equivalent atoms:
Mg (0.0000, 0.0000, 0.0000) x3  2 F 1.91
Bi (0.0000, 0.0000, 0.5000) x3  6 F 2.77
F (0.0000, 0.0000, 0.0811) x6  1 Mg 1.91

=====

The lowest E_form (uncorrected) belongs to which entry? MgBiF5

=====

What is the total energy in the first record? -4.41 eV/atom

=====

What is the formula in the third record? LiBiF5

=====

What is the total energy in the sixth record? -5.10 eV/atom